ZrCoAs2 at its PBEsol-relaxed geometry. Source: Alexandria via LeMat-Bulk, functional SCAN.

```
data_ZrCoAs2
_cell_length_a 4.342
_cell_length_b 4.342
_cell_length_c 3.286
_cell_angle_alpha 90.00
_cell_angle_beta 90.00
_cell_angle_gamma 90.00
_symmetry_space_group_name_H-M 'P 1'
_symmetry_Int_Tables_number 1
loop_
_symmetry_equiv_pos_as_xyz
'x,y,z'
loop_
_atom_site_label
_atom_site_type_symbol
_atom_site_fract_x
_atom_site_fract_y
_atom_site_fract_z
Zr1 Zr 0.000 0.000 0.000
Co1 Co 0.500 0.500 0.000
As1 As 0.000 0.500 0.500
As2 As 0.500 0.000 0.500
```


CrAs5 at its PBEsol-relaxed geometry. Source: Alexandria via LeMat-Bulk, functional SCAN.

```
data_CrAs5
_cell_length_a 7.396
_cell_length_b 7.396
_cell_length_c 4.518
_cell_angle_alpha 90.00
_cell_angle_beta 90.00
_cell_angle_gamma 154.39
_symmetry_space_group_name_H-M 'P 1'
_symmetry_Int_Tables_number 1
loop_
_symmetry_equiv_pos_as_xyz
'x,y,z'
loop_
_atom_site_label
_atom_site_type_symbol
_atom_site_fract_x
_atom_site_fract_y
_atom_site_fract_z
Cr1 Cr 0.000 0.000 0.000
As1 As 0.151 0.849 0.500
As2 As 0.358 0.642 0.000
As3 As 0.500 0.500 0.500
As4 As 0.642 0.358 0.000
As5 As 0.849 0.151 0.500
```


CrAs3 at its PBEsol-relaxed geometry. Source: Alexandria via LeMat-Bulk, functional SCAN.

```
data_CrAs3
_cell_length_a 7.172
_cell_length_b 7.172
_cell_length_c 3.583
_cell_angle_alpha 90.00
_cell_angle_beta 90.00
_cell_angle_gamma 119.63
_symmetry_space_group_name_H-M 'P 1'
_symmetry_Int_Tables_number 1
loop_
_symmetry_equiv_pos_as_xyz
'x,y,z'
loop_
_atom_site_label
_atom_site_type_symbol
_atom_site_fract_x
_atom_site_fract_y
_atom_site_fract_z
Cr1 Cr 0.058 0.942 0.750
Cr2 Cr 0.942 0.058 0.250
As1 As 0.142 0.337 0.750
As2 As 0.234 0.766 0.250
As3 As 0.337 0.142 0.250
As4 As 0.663 0.858 0.750
As5 As 0.766 0.234 0.750
As6 As 0.858 0.663 0.250
```


Cr2As at its PBEsol-relaxed geometry. Source: Alexandria via LeMat-Bulk, functional SCAN.

```
data_Cr2As
_cell_length_a 3.971
_cell_length_b 3.971
_cell_length_c 5.684
_cell_angle_alpha 90.00
_cell_angle_beta 90.00
_cell_angle_gamma 120.00
_symmetry_space_group_name_H-M 'P 1'
_symmetry_Int_Tables_number 1
loop_
_symmetry_equiv_pos_as_xyz
'x,y,z'
loop_
_atom_site_label
_atom_site_type_symbol
_atom_site_fract_x
_atom_site_fract_y
_atom_site_fract_z
Cr1 Cr 0.333 0.667 0.052
Cr2 Cr 0.333 0.667 0.448
Cr3 Cr 0.667 0.333 0.552
Cr4 Cr 0.667 0.333 0.948
As1 As 0.000 0.000 0.250
As2 As 0.000 0.000 0.750
```


| no. | E_tot (eV/atom) |
| --- | --- |
| 1 | -22.45 |
| 2 | -19.65 |
| 3 | -19.64 |
| 4 | -18.58 |